No. 1
A geometry-optimized KHgAu2 structure, computed with PBE-GGA.

Lattice parameters (Å, degrees): 4.6488 6.5856 8.4282 90.00 90.00 110.64
Fractional coordinates of all 8 atoms:
K (0.4302, 0.8598, 0.7500)
K (0.5698, 0.1402, 0.2500)
Hg (0.8600, 0.7204, 0.2500)
Hg (0.1400, 0.2796, 0.7500)
Au (0.2708, 0.5417, 0.4164)
Au (0.7292, 0.4583, 0.5836)
Au (0.2708, 0.5417, 0.0836)
Au (0.7292, 0.4583, 0.9164)

Values from the calculation:
**Electronic total energy**: -2.17 eV per atom
**Formation enthalpy at 0 K**: -183 meV/atom

***

No. 2
A geometry-optimized K3CaTm2Se6 structure, computed with PBE-GGA.

Lattice parameters (Å, degrees): 7.2657 7.2657 8.0924 98.62 98.62 120.00
Fractional coordinates of all 12 atoms:
K (0.1636, 0.8364, 0.5000)
K (0.8364, 0.1636, 0.5000)
K (0.5000, 0.5000, 0.5000)
Ca (0.0000, 0.0000, 0.0000)
Tm (0.3331, 0.6669, 0.0000)
Tm (0.6669, 0.3331, 0.0000)
Se (0.9314, 0.5854, 0.7947)
Se (0.7224, 0.7224, 0.2046)
Se (0.0686, 0.4146, 0.2053)
Se (0.5854, 0.9314, 0.7947)
Se (0.2776, 0.2776, 0.7954)
Se (0.4146, 0.0686, 0.2053)

Values from the calculation:
**Energy relative to the elements, uncorrected**: -1.6081 eV/atom
**Electronic total energy**: -4.54 eV per atom

***

No. 3
A geometry-optimized La6Pm2Er3Mg structure, computed with PBE-GGA.

Lattice parameters (Å, degrees): 6.3043 6.3043 11.9206 95.06 95.06 120.03
Fractional coordinates of all 12 atoms:
La (0.9164, 0.5855, 0.7477)
La (0.7528, 0.7528, 0.2527)
La (0.0836, 0.4145, 0.2523)
La (0.5855, 0.9164, 0.7477)
La (0.2472, 0.2472, 0.7473)
La (0.4145, 0.0836, 0.2523)
Pm (0.3332, 0.6668, 0.0000)
Pm (0.6668, 0.3332, 0.0000)
Er (0.1666, 0.8334, 0.5000)
Er (0.8334, 0.1666, 0.5000)
Er (0.5000, 0.5000, 0.5000)
Mg (0.0000, 0.0000, 0.0000)

Values from the calculation:
**Electronic total energy**: -4.52 eV per atom
**Formation enthalpy at 0 K**: 13 meV/atom

***

No. 4
A geometry-optimized MnSi2N structure, computed with PBE-GGA.

Lattice parameters (Å, degrees): 2.6893 3.0311 6.4971 103.45 101.94 90.01
Each line ends with the local moment (μB).
Fractional coordinates of all 4 atoms:
Mn (0.7484, 0.3479, 0.3771)  0.07
Si (0.5388, 0.1386, 0.9572)  0.00
Si (0.3461, 0.9451, 0.5722)  0.00
N (0.1256, 0.2250, 0.1309)  0.00

Values from the calculation:
**Energy relative to the elements, uncorrected**: 0.0243 eV/atom
**Electronic total energy**: -7.06 eV per atom

***

No. 5
A geometry-optimized YZr2Sn structure, computed with PBE-GGA.

Lattice parameters (Å, degrees): 4.6198 4.5591 4.5591 90.00 90.00 90.00
Fractional coordinates of all 4 atoms:
Y (0.5000, 0.0000, 0.0000)
Sn (0.5000, 0.5000, 0.5000)
Zr (0.0000, 0.0000, 0.5000)
Zr (0.0000, 0.5000, 0.0000)

Values from the calculation:
**Electronic total energy**: -7.20 eV per atom
**Formation enthalpy at 0 K**: -309 meV/atom

***

No. 6
A geometry-optimized Pm6Si2GeI3 structure, computed with PBE-GGA.

Lattice parameters (Å, degrees): 7.4737 7.4737 8.0254 98.93 98.93 119.99
Fractional coordinates of all 12 atoms:
Pm (0.9341, 0.5982, 0.8023)
Pm (0.7301, 0.7301, 0.1975)
Pm (0.0659, 0.4018, 0.1977)
Pm (0.5982, 0.9341, 0.8023)
Pm (0.2699, 0.2699, 0.8025)
Pm (0.4018, 0.0659, 0.1977)
Si (0.3333, 0.6667, 0.0000)
Si (0.6667, 0.3333, 0.0000)
Ge (0.0000, 0.0000, 0.0000)
I (0.1662, 0.8338, 0.5000)
I (0.8338, 0.1662, 0.5000)
I (0.5000, 0.5000, 0.5000)

Values from the calculation:
**Energy relative to the elements, uncorrected**: -0.9728 eV/atom
**Electronic total energy**: -5.02 eV per atom

***

No. 7
A geometry-optimized LiAsPb2 structure, computed with PBE-GGA.

Lattice parameters (Å, degrees): 6.9185 6.9185 6.9185 147.63 143.91 49.25
Fractional coordinates of all 4 atoms:
As (0.7500, 0.2500, 0.5000)
Li (0.2500, 0.7500, 0.5000)
Pb (0.9291, 0.9291, 0.0000)
Pb (0.5709, 0.5709, 0.0000)

Values from the calculation:
**Electronic total energy**: -3.62 eV per atom
**Formation enthalpy at 0 K**: -128 meV/atom

***

No. 8
A geometry-optimized HgP2Pb structure, computed with PBE-GGA.

Lattice parameters (Å, degrees): 3.9498 4.8853 5.3762 104.74 90.00 90.00
Fractional coordinates of all 4 atoms:
Hg (0.5000, 0.7500, 0.7500)
P (0.0000, 0.6109, 0.0622)
P (0.0000, 0.8891, 0.4378)
Pb (0.5000, 0.2500, 0.2500)

Values from the calculation:
**Excess energy over the best structure of this formula in the dataset**: 0.35 eV per formula unit
**Electronic total energy**: -3.50 eV per atom
**Formation enthalpy at 0 K**: 211 meV/atom

***

No. 9
A geometry-optimized Ho2NpCd structure, computed with PBE-GGA.

Lattice parameters (Å, degrees): 3.3722 3.3722 9.3239 90.00 90.00 90.00
Each line ends with the local moment (μB).
Fractional coordinates of all 4 atoms:
Np (0.5000, 0.5000, 0.0000)  3.89
Ho (0.0000, 0.0000, 0.7400)  0.03
Ho (0.0000, 0.0000, 0.2600)  0.03
Cd (0.5000, 0.5000, 0.5000)  -0.01

Values from the calculation:
**Electronic total energy**: -5.63 eV per atom
**Formation enthalpy at 0 K**: 126 meV/atom

***

No. 10
A geometry-optimized BaVI3 structure, computed with PBE-GGA.

Lattice parameters (Å, degrees): 5.6891 5.6891 5.6891 90.00 90.00 90.00
Each line ends with the local moment (μB).
Fractional coordinates of all 5 atoms:
I (0.0000, 0.5000, 0.0000)  0.00
I (0.0000, 0.0000, 0.5000)  0.00
I (0.5000, 0.0000, 0.0000)  0.00
Ba (0.5000, 0.5000, 0.5000)  0.06
V (0.0000, 0.0000, 0.0000)  3.02

Values from the calculation:
**Excess energy over the best structure of this formula in the dataset**: 0.00 eV per formula unit
**Energy relative to the elements, uncorrected**: -0.7455 eV/atom
**Electronic total energy**: -3.88 eV per atom

***

No. 11
A geometry-optimized NbHgBr6 structure, computed with PBE-GGA.

Lattice parameters (Å, degrees): 6.9037 6.9024 7.3986 62.20 62.20 59.99
Fractional coordinates of all 8 atoms:
Nb (0.0000, 0.0000, 0.0000)
Hg (0.5000, 0.5000, 0.5000)
Br (0.0572, 0.3926, 0.7646)
Br (0.7855, 0.0573, 0.7645)
Br (0.6073, 0.2144, 0.2355)
Br (0.2145, 0.9427, 0.2355)
Br (0.9428, 0.6074, 0.2354)
Br (0.3927, 0.7856, 0.7645)

Values from the calculation:
**Excess energy over the best structure of this formula in the dataset**: 0.28 eV per formula unit
**Energy relative to the elements, uncorrected**: -0.6482 eV/atom
**Electronic total energy**: -3.20 eV per atom

***

No. 12
A geometry-optimized Ac5Hg2RhO structure, computed with PBE-GGA.

Lattice parameters (Å, degrees): 4.2819 9.9916 14.5060 90.00 90.00 102.37
Fractional coordinates of all 18 atoms:
Ac (0.3505, 0.7010, 0.0123)
Ac (0.6867, 0.3733, 0.8812)
Ac (0.4961, 0.9923, 0.7809)
Ac (0.2930, 0.5860, 0.6641)
Ac (0.9562, 0.9124, 0.5100)
Ac (0.6495, 0.2990, 0.5123)
Ac (0.3133, 0.6267, 0.3812)
Ac (0.5039, 0.0077, 0.2809)
Ac (0.7070, 0.4140, 0.1641)
Ac (0.0438, 0.0876, 0.0100)
Hg (0.8673, 0.7346, 0.8302)
Hg (0.1153, 0.2306, 0.6938)
Hg (0.1327, 0.2654, 0.3302)
Hg (0.8847, 0.7694, 0.1938)
Rh (0.7984, 0.5967, 0.5227)
Rh (0.2016, 0.4033, 0.0227)
O (0.5531, 0.1062, 0.9286)
O (0.4469, 0.8938, 0.4286)

Values from the calculation:
**Energy relative to the elements, uncorrected**: -0.9971 eV/atom
**Electronic total energy**: -4.71 eV per atom

***

No. 13
A geometry-optimized KAc2PbO4 structure, computed with PBE-GGA.

Lattice parameters (Å, degrees): 4.0479 7.6405 11.7093 90.00 90.00 105.36
Fractional coordinates of all 16 atoms:
K (0.0155, 0.0310, 0.7500)
K (0.9845, 0.9690, 0.2500)
Ac (0.3711, 0.7422, 0.5552)
Ac (0.6289, 0.2578, 0.0552)
Ac (0.6289, 0.2578, 0.4448)
Ac (0.3711, 0.7422, 0.9448)
Pb (0.7014, 0.4028, 0.7500)
Pb (0.2986, 0.5972, 0.2500)
O (0.2187, 0.4374, 0.0885)
O (0.7813, 0.5626, 0.5885)
O (0.7813, 0.5626, 0.9115)
O (0.2187, 0.4374, 0.4115)
O (0.0000, 0.0000, 0.5000)
O (0.0000, 0.0000, 0.0000)
O (0.4094, 0.8188, 0.7500)
O (0.5906, 0.1812, 0.2500)

Values from the calculation:
**Energy relative to the elements, uncorrected**: -2.2473 eV/atom
**Electronic total energy**: -6.35 eV per atom

***

No. 14
A geometry-optimized Sc5Cd2Pd2Pt structure, computed with PBE-GGA.

Lattice parameters (Å, degrees): 3.3985 11.0794 11.0794 90.00 90.00 90.00
Fractional coordinates of all 20 atoms:
Sc (0.5000, 0.1893, 0.0738)
Sc (0.5000, 0.8107, 0.9262)
Sc (0.5000, 0.0738, 0.8107)
Sc (0.5000, 0.6893, 0.4262)
Sc (0.5000, 0.9262, 0.1893)
Sc (0.5000, 0.3107, 0.5738)
Sc (0.5000, 0.5738, 0.6893)
Sc (0.5000, 0.4262, 0.3107)
Sc (0.5000, 0.5000, 0.0000)
Sc (0.5000, 0.0000, 0.5000)
Cd (0.0000, 0.6701, 0.1701)
Cd (0.0000, 0.3299, 0.8299)
Cd (0.0000, 0.1701, 0.3299)
Cd (0.0000, 0.8299, 0.6701)
Pd (0.0000, 0.1337, 0.6337)
Pd (0.0000, 0.8663, 0.3663)
Pd (0.0000, 0.6337, 0.8663)
Pd (0.0000, 0.3663, 0.1337)
Pt (0.0000, 0.0000, 0.0000)
Pt (0.0000, 0.5000, 0.5000)

Values from the calculation:
**Electronic total energy**: -5.66 eV per atom
**Formation enthalpy at 0 K**: -668 meV/atom

***

No. 15
A geometry-optimized CrInSe3 structure, computed with PBE-GGA.

Lattice parameters (Å, degrees): 4.9135 4.9135 4.9135 90.00 90.00 90.00
Each line ends with the local moment (μB).
Fractional coordinates of all 5 atoms:
Cr (0.0000, 0.0000, 0.0000)  2.48
Se (0.0000, 0.5000, 0.0000)  -0.18
Se (0.0000, 0.0000, 0.5000)  -0.15
Se (0.5000, 0.0000, 0.0000)  -0.24
In (0.5000, 0.5000, 0.5000)  -0.07

Values from the calculation:
**Energy relative to the elements, uncorrected**: -0.0419 eV/atom
**Electronic total energy**: -4.60 eV per atom

***

No. 16
A geometry-optimized KTiPO5 structure, computed with PBE-GGA.

Lattice parameters (Å, degrees): 5.6653 5.6653 7.2227 105.11 105.11 105.24
Fractional coordinates of all 16 atoms:
K (0.3318, 0.6682, 0.2500)
K (0.6682, 0.3318, 0.7500)
Ti (0.0000, 0.0000, 0.5000)
Ti (0.0000, 0.0000, 0.0000)
P (0.6886, 0.3114, 0.2500)
P (0.3114, 0.6886, 0.7500)
O (0.0527, 0.9473, 0.2500)
O (0.9473, 0.0527, 0.7500)
O (0.8676, 0.2897, 0.1187)
O (0.1324, 0.7103, 0.8813)
O (0.7103, 0.1324, 0.3813)
O (0.2897, 0.8676, 0.6187)
O (0.7731, 0.6013, 0.3912)
O (0.2269, 0.3987, 0.6088)
O (0.3987, 0.2269, 0.1088)
O (0.6013, 0.7731, 0.8912)

Values from the calculation:
**Excess energy over the best structure of this formula in the dataset**: 0.75 eV per formula unit
**Energy relative to the elements, uncorrected**: -2.5227 eV/atom
**Electronic total energy**: -7.42 eV per atom

***

no.,theoretical density (g/cm³)
1,8.7
2,4.6
3,6.8
4,4.1
5,6.7
6,6.2
7,7.9
8,7.8
9,10.6
10,5.1
11,5.0
12,9.1
13,7.3
14,6.8
15,5.7
16,3.3